Run i
This record from the Alexandria database describes a relaxed structure of TePd2O. The functional is GGA-PBE.

```
4
Lattice="0.0000 3.1401 3.1401 3.1401 0.0000 3.1401 3.1401 3.1401 0.0000" Properties=species:S:1:pos:R:3 pbc="T T T"
Te 3.1401 3.1401 3.1401
O 0.0000 0.0000 0.0000
Pd 1.5701 1.5701 1.5701
Pd 4.7102 4.7102 4.7102
```

## Properties
Fermi-level density of states   0.352 states/eV per atom
Crystal system   cubic
Calculated volume   61.9 Å³/cell

---

Run ii
This record from the Alexandria database describes a relaxed structure of TePd2O. The functional is GGA-PBE.

```
8
Lattice="-3.1901 -5.0485 -1.6769 4.4470 -1.4577 -4.0713 2.3858 -5.2370 -0.2443" Properties=species:S:1:pos:R:3 pbc="T T T"
Te 0.0000 0.0000 0.0000
Te -0.0879 -6.7693 -2.3976
O 0.6285 -3.2531 -2.8741
O 3.7306 -4.9739 -3.5948
Pd -0.6423 -4.3316 -1.5133
Pd 2.7779 -3.1665 -2.9199
Pd 2.5383 -6.4586 -2.5929
Pd 2.6115 -9.5297 -4.9587
```

## Properties
Fermi-level density of states   0.866 states/eV per atom
Crystal system   tetragonal
Calculated volume   143.7 Å³/cell

---

The structure with the least stability is run i.

---

Run i
This record from the Alexandria database describes a relaxed structure of Te3PdO. The functional is GGA-PBE.

```
5
Lattice="4.7785 0.0000 0.0000 0.0000 4.7785 0.0000 0.0000 0.0000 4.7785" Properties=species:S:1:pos:R:3 pbc="T T T"
Te 0.0000 2.3892 0.0000
Te 0.0000 0.0000 2.3892
Te 2.3892 0.0000 0.0000
O 0.0000 0.0000 0.0000
Pd 2.3892 2.3892 2.3892
```

## Properties
Fermi-level density of states   0.966 states/eV per atom
Crystal system   cubic
Calculated volume   109.1 Å³/cell

---

Run ii
This record from the Alexandria database describes a relaxed structure of Te3PdO. The functional is GGA-PBE.

```
5
Lattice="5.2112 0.0000 0.0000 0.0000 5.2112 0.0000 0.0000 0.0000 5.2112" Properties=species:S:1:pos:R:3 pbc="T T T"
Te 0.0000 2.6056 0.0000
Te 0.0000 0.0000 2.6056
Te 2.6056 0.0000 0.0000
O 2.6056 2.6056 2.6056
Pd 0.0000 0.0000 0.0000
```

## Properties
Fermi-level density of states   2.146 states/eV per atom
Crystal system   cubic
Calculated volume   141.5 Å³/cell

---

The structure with the least stability is run ii.

---

Run i
This record from the Alexandria database describes a relaxed structure of TePd3O. The functional is GGA-PBE.

```
5
Lattice="-0.1623 -2.5266 4.2619 3.5719 -3.0148 -1.6512 3.4336 3.0168 1.9192" Properties=species:S:1:pos:R:3 pbc="T T T"
Te 0.0000 0.0000 0.0000
O 3.4216 -1.2623 2.2650
Pd 1.7859 -1.5074 -0.8256
Pd 1.7168 1.5084 0.9596
Pd -0.0812 -1.2633 2.1310
```

## Properties
Fermi-level density of states   1.266 states/eV per atom
Crystal system   cubic
Calculated volume   121.8 Å³/cell

---

Run ii
This record from the Alexandria database describes a relaxed structure of TePd3O. The functional is GGA-PBE.

```
5
Lattice="4.3502 0.0000 0.0000 0.0000 4.3502 0.0000 0.0000 0.0000 4.3502" Properties=species:S:1:pos:R:3 pbc="T T T"
Te 2.1751 2.1751 2.1751
O 0.0000 0.0000 0.0000
Pd 0.0000 2.1751 0.0000
Pd 0.0000 0.0000 2.1751
Pd 2.1751 0.0000 0.0000
```

## Properties
Fermi-level density of states   0.949 states/eV per atom
Crystal system   cubic
Calculated volume   82.3 Å³/cell

---

The structure with the least stability is run i.

---

Run i
This record from the Alexandria database describes a relaxed structure of Ti4Pd2O. The functional is GGA-PBE.

```
7
Lattice="-2.3883 -3.0927 -1.0871 2.1238 -2.4843 2.4017 -4.1442 -1.4309 5.6091" Properties=species:S:1:pos:R:3 pbc="T T T"
O 0.0000 0.0000 0.0000
Pd -1.2386 -2.4141 2.0228
Pd -3.1701 -4.5938 4.9009
Ti -2.7187 -1.9133 3.8496
Ti -1.6901 -5.0946 3.0741
Ti 1.0619 -1.2421 1.2009
Ti -1.1941 -1.5463 -0.5436
```

## Properties
Fermi-level density of states   0.787 states/eV per atom
Crystal system   tetragonal
Calculated volume   107.2 Å³/cell

---

Run ii
This record from the Alexandria database describes a relaxed structure of Ti4Pd2O. The functional is GGA-PBE.

```
28
Lattice="-8.0766 1.6385 1.0032 -3.4077 -0.3939 7.5601 -2.3765 6.9609 3.8499" Properties=species:S:1:pos:R:3 pbc="T T T"
Ti -1.8374 3.0730 2.2609
Ti -6.9591 5.3254 3.9782
Ti -6.1939 5.6861 9.5500
Ti -2.2060 0.4440 3.5871
Ti -5.0930 1.0297 3.9457
Ti -7.6669 2.5194 2.8632
Ti -4.6669 1.2134 7.0763
Ti -4.0043 5.9392 4.6923
Ti -3.8749 1.1705 1.2433
Ti -9.8565 2.2663 7.7209
Ti -7.4748 1.6480 5.8333
Ti -3.0555 2.9322 4.9633
Ti -4.7244 3.6587 2.6195
Ti -9.1939 6.9920 5.3369
Ti -8.6630 5.1284 7.7582
Ti -4.6247 4.3091 7.2566
Pd -6.5436 5.8469 6.4718
Pd -6.9100 3.2340 7.7899
Pd -5.6993 3.3740 5.1041
Pd -11.6266 6.8829 10.4123
Pd -10.7824 4.4100 9.0446
Pd -8.7573 6.3008 10.0560
Pd -8.5686 3.9561 5.4605
Pd -10.4160 7.0228 7.7266
O -5.7709 1.8450 2.0532
O -3.4365 0.8287 5.3317
O -1.7326 1.0257 1.5516
O -2.9208 4.5061 3.4766
```

## Properties
Fermi-level density of states   1.038 states/eV per atom
Crystal system   cubic
Calculated volume   404.6 Å³/cell

---

The structure with the least stability is run i.

---

Run i
This record from the Alexandria database describes a relaxed structure of TlPd2O3. The functional is GGA-PBE.

```
12
Lattice="-2.3081 0.9943 5.6914 -2.1795 -4.7684 3.3497 3.9008 -2.0858 5.3469" Properties=species:S:1:pos:R:3 pbc="T T T"
Tl 0.8635 -1.6199 4.0337
Tl -1.4503 -4.2400 10.3542
Pd 0.0000 0.0000 0.0000
Pd -1.1540 0.4971 2.8457
Pd -2.2438 -1.8870 4.5206
Pd -1.0898 -2.3842 1.6748
O -1.6720 -3.7768 5.0914
O 1.1492 -4.9494 8.1318
O -1.7360 -0.9104 6.2562
O -2.8201 -3.2823 7.9223
O 1.0853 -2.0830 9.2966
O 2.2333 -2.5776 6.4656
```

## Properties
Crystal system   trigonal
Calculated volume   199.0 Å³/cell

---

Run ii
This record from the Alexandria database describes a relaxed structure of TlPd2O3. The functional is GGA-PBE.

```
12
Lattice="-4.2297 0.3010 5.5760 -0.9953 -5.3782 1.1164 2.9585 2.9979 3.6635" Properties=species:S:1:pos:R:3 pbc="T T T"
Tl 0.6718 -1.5163 3.9434
Tl -2.9384 -0.5630 6.4125
Pd -2.4561 -3.8420 4.3258
Pd -0.1036 -3.4890 1.6909
Pd 2.0668 1.1087 3.0890
Pd 0.1896 1.7628 6.0302
O -3.1763 -1.8977 4.3353
O -1.6842 1.2631 5.2965
O 0.9098 -0.1815 6.0206
O -1.3068 -1.6650 7.5041
O -0.9597 -0.4142 2.8519
O -0.5823 -3.3424 5.0595
```

## Properties
Fermi-level density of states   0.460 states/eV per atom
Crystal system   monoclinic
Calculated volume   171.7 Å³/cell

---

The structure with the least stability is run ii.

---

Run i
This record from the Alexandria database describes a relaxed structure of Tl2PdO. The functional is GGA-PBE.

```
4
Lattice="0.0000 3.3835 3.3835 3.3835 0.0000 3.3835 3.3835 3.3835 0.0000" Properties=species:S:1:pos:R:3 pbc="T T T"
Tl 1.6918 1.6918 1.6918
Tl 5.0753 5.0753 5.0753
O 0.0000 0.0000 0.0000
Pd 3.3835 3.3835 3.3835
```

## Properties
Fermi-level density of states   0.816 states/eV per atom
Crystal system   cubic
Calculated volume   77.5 Å³/cell

---

Run ii
This record from the Alexandria database describes a relaxed structure of Tl2PdO. The functional is GGA-PBE.

```
8
Lattice="-2.1267 -6.2138 0.2581 2.1229 -0.4689 6.2028 -3.5807 -2.0616 4.5520" Properties=species:S:1:pos:R:3 pbc="T T T"
Tl -1.8664 -4.1870 2.0634
Tl 0.0731 -1.8559 5.0583
Tl -2.5945 -4.0726 6.1071
Tl -2.7814 -7.3731 8.7971
O -0.0019 -3.3414 3.2305
O -0.7299 -2.9359 6.9926
Pd 0.0000 0.0000 0.0000
Pd -2.8547 -5.8084 4.0203
```

## Properties
Fermi-level density of states   0.037 states/eV per atom
Crystal system   tetragonal
Calculated volume   173.8 Å³/cell

---

The structure with the least stability is run i.